! PBE-GGA Al2In, optimized geometry; values from VASP
&SYSTEM
  ibrav = 0, nat = 3, ntyp = 2
/
ATOMIC_SPECIES
Al 26.98 Al.upf
In 114.82 In.upf
CELL_PARAMETERS angstrom
3.9506 0.0000 0.0000
0.0000 3.9506 0.0000
0.0000 0.0000 4.3801
ATOMIC_POSITIONS crystal
Al 0.5000 0.0000 0.5000
Al 0.0000 0.5000 0.5000
In 0.0000 0.0000 0.0000
! D(E_F): 1.86 states/eV/f.u.
! Energy relative to the elements: 0.697 eV per formula unit
! Energy: -3.1755 eV per atom

! PBE-GGA KBaTeI2, optimized geometry; values from VASP
&SYSTEM
  ibrav = 0, nat = 5, ntyp = 4
/
ATOMIC_SPECIES
I 126.90 I.upf
K 39.10 K.upf
Ba 137.33 Ba.upf
Te 127.60 Te.upf
CELL_PARAMETERS angstrom
6.2196 0.0000 0.0000
0.0000 6.2196 0.0000
0.0000 0.0000 6.2977
ATOMIC_POSITIONS crystal
I 0.5000 0.0000 0.0000
K 0.0000 0.0000 0.0000
Ba 0.5000 0.5000 0.5000
Te 0.0000 0.0000 0.5000
I 0.0000 0.5000 0.0000
! D(E_F): 4.20 states/eV/f.u.
! Formation energy from raw total energies: -0.83 eV per atom
! Energy: -2.6831 eV per atom
! Energy above the most stable polymorph in this dataset: 0.2538 eV per atom

! PBE-GGA Cs3Hg6Pt, optimized geometry; values from VASP
&SYSTEM
  ibrav = 0, nat = 10, ntyp = 3
/
ATOMIC_SPECIES
Hg 200.59 Hg.upf
Pt 195.08 Pt.upf
Cs 132.91 Cs.upf
CELL_PARAMETERS angstrom
8.0261 -0.7496 -4.0437
-4.8031 7.6016 -0.8854
-0.4659 0.7615 8.9912
ATOMIC_POSITIONS crystal
Hg 0.5696 0.2847 0.2847
Hg 0.4304 0.7153 0.7153
Pt 0.0000 0.5000 0.5000
Hg 0.0000 0.7154 0.2846
Hg 0.0000 0.2847 0.2847
Cs 0.5000 0.7500 0.2500
Cs 0.0000 0.0000 0.0000
Hg 0.0000 0.2846 0.7154
Hg 0.0000 0.7153 0.7153
Cs 0.5000 0.2500 0.7500
! D(E_F): 5.12 states/eV/f.u.
! Energy relative to the elements: -1.515 eV per formula unit
! Energy: -1.1927 eV per atom

! PBE-GGA AlSiPbAu2, optimized geometry; values from VASP
&SYSTEM
  ibrav = 0, nat = 5, ntyp = 4
/
ATOMIC_SPECIES
Pb 207.20 Pb.upf
Si 28.09 Si.upf
Al 26.98 Al.upf
Au 196.97 Au.upf
CELL_PARAMETERS angstrom
4.7480 0.0000 0.0000
0.0000 5.6537 0.0000
0.0000 0.0000 4.7480
ATOMIC_POSITIONS crystal
Pb 0.0000 0.5000 0.0000
Si 0.0000 0.0000 0.0000
Al 0.5000 0.5000 0.5000
Au 0.5000 0.0000 0.0000
Au 0.0000 0.0000 0.5000
! D(E_F): 3.42 states/eV/f.u.
! Formation energy from raw total energies: 0.39 eV per atom
! Energy: -3.4975 eV per atom
! Energy above the most stable polymorph in this dataset: 0.0722 eV per atom

! PBE-GGA ScFe3Te, optimized geometry; values from VASP
&SYSTEM
  ibrav = 0, nat = 5, ntyp = 3
/
ATOMIC_SPECIES
Fe 55.84 Fe.upf
Te 127.60 Te.upf
Sc 44.96 Sc.upf
CELL_PARAMETERS angstrom
-0.4608 4.5022 -0.3484
-3.6850 -0.1725 2.6447
2.6100 0.5514 3.6726
ATOMIC_POSITIONS crystal
Fe 0.0000 0.0000 0.5000
Fe 0.5000 0.0000 0.0000
Te 0.0000 0.0000 0.0000
Fe 0.0000 0.5000 0.0000
Sc 0.5000 0.5000 0.5000
! D(E_F): 12.16 states/eV/f.u.
! Formation energy from raw total energies: 1.07 eV per atom
! Energy: -5.9037 eV per atom
! Energy above the most stable polymorph in this dataset: 0.0000 eV per atom

! PBE-GGA Sc3ZnC, optimized geometry; values from VASP
&SYSTEM
  ibrav = 0, nat = 10, ntyp = 3
/
ATOMIC_SPECIES
Zn 65.41 Zn.upf
Sc 44.96 Sc.upf
C 12.01 C.upf
CELL_PARAMETERS angstrom
3.6626 0.0000 5.1998
-1.8313 3.1719 5.1998
-1.8313 -3.1719 5.1998
ATOMIC_POSITIONS crystal
Zn 0.2463 0.2463 0.2463
Sc 0.7971 0.6955 0.2464
Sc 0.6955 0.2464 0.7971
Sc 0.2971 0.7464 0.1955
C 0.4964 0.4964 0.4964
Sc 0.7464 0.1955 0.2971
C 0.9964 0.9964 0.9964
Sc 0.2464 0.7971 0.6955
Sc 0.1955 0.2971 0.7464
Zn 0.7463 0.7463 0.7463
! D(E_F): 10.12 states/eV/f.u.
! Energy relative to the elements: -2.188 eV per formula unit
! Energy: -6.3360 eV per atom
! Energy above the most stable polymorph in this dataset: 0.0000 eV per atom

! PBE-GGA AcSmAg2, optimized geometry; values from VASP
&SYSTEM
  ibrav = 0, nat = 4, ntyp = 3
/
ATOMIC_SPECIES
Sm 150.36 Sm.upf
Ac 227.00 Ac.upf
Ag 107.87 Ag.upf
CELL_PARAMETERS angstrom
3.8341 0.0000 0.0000
0.0000 3.8341 0.0000
0.0000 0.0000 7.6651
ATOMIC_POSITIONS crystal
Sm 0.5000 0.5000 0.0000
Ac 0.5000 0.5000 0.5000
Ag 0.0000 0.0000 0.7795
Ag 0.0000 0.0000 0.2205
! D(E_F): 2.43 states/eV/f.u.
! Energy relative to the elements: -1.061 eV per formula unit
! Energy: -3.8977 eV per atom
! Energy above the most stable polymorph in this dataset: 0.0000 eV per atom

! PBE-GGA CeZnPd2, optimized geometry; values from VASP
&SYSTEM
  ibrav = 0, nat = 4, ntyp = 3
/
ATOMIC_SPECIES
Pd 106.42 Pd.upf
Ce 140.12 Ce.upf
Zn 65.41 Zn.upf
CELL_PARAMETERS angstrom
3.2576 0.0000 0.0000
0.0000 3.2576 0.0000
0.0000 0.0000 6.8611
ATOMIC_POSITIONS crystal
Pd 0.0000 0.0000 0.2067
Ce 0.5000 0.5000 0.5000
Pd 0.0000 0.0000 0.7933
Zn 0.5000 0.5000 0.0000
! D(E_F): 4.69 states/eV/f.u.
! Energy relative to the elements: -2.274 eV per formula unit
! Energy: -4.9668 eV per atom

! PBE-GGA TiSbP2Cl, optimized geometry; values from VASP
&SYSTEM
  ibrav = 0, nat = 5, ntyp = 4
/
ATOMIC_SPECIES
P 30.97 P.upf
Ti 47.87 Ti.upf
Cl 35.45 Cl.upf
Sb 121.76 Sb.upf
CELL_PARAMETERS angstrom
-4.3319 -0.5128 2.2193
2.0720 -2.8675 3.3819
0.8765 3.6439 2.5527
ATOMIC_POSITIONS crystal
P 0.5000 0.0000 0.0000
P 0.0000 0.5000 0.0000
Ti 0.0000 0.0000 0.0000
Cl 0.0000 0.0000 0.5000
Sb 0.5000 0.5000 0.5000
! D(E_F): 3.05 states/eV/f.u.
! Formation energy from raw total energies: -0.03 eV per atom
! Energy: -4.9717 eV per atom
! Energy above the most stable polymorph in this dataset: 0.0000 eV per atom

! PBE-GGA ScCr2SiC, optimized geometry; values from VASP
&SYSTEM
  ibrav = 0, nat = 10, ntyp = 4
/
ATOMIC_SPECIES
Sc 44.96 Sc.upf
Cr 52.00 Cr.upf
C 12.01 C.upf
Si 28.09 Si.upf
CELL_PARAMETERS angstrom
3.4260 0.0000 0.0000
-1.7130 5.3118 0.0000
0.0000 0.0000 7.1728
ATOMIC_POSITIONS crystal
Sc 0.4679 0.9357 0.7500
Cr 0.8304 0.6608 0.4420
C 0.0000 0.0000 0.0000
Cr 0.1696 0.3392 0.5580
C 0.0000 0.0000 0.5000
Cr 0.1696 0.3392 0.9420
Cr 0.8304 0.6608 0.0580
Si 0.7486 0.4972 0.7500
Si 0.2514 0.5028 0.2500
Sc 0.5321 0.0643 0.2500
! D(E_F): 3.65 states/eV/f.u.
! Formation energy from raw total energies: -0.37 eV per atom
! Energy: -8.4153 eV per atom

! PBE-GGA LaSc3Pb, optimized geometry; values from VASP
&SYSTEM
  ibrav = 0, nat = 5, ntyp = 3
/
ATOMIC_SPECIES
La 138.91 La.upf
Sc 44.96 Sc.upf
Pb 207.20 Pb.upf
CELL_PARAMETERS angstrom
5.2470 0.0000 0.0000
0.0000 5.2470 0.0000
0.0000 0.0000 5.2470
ATOMIC_POSITIONS crystal
La 0.0000 0.0000 0.0000
Sc 0.0000 0.0000 0.5000
Sc 0.5000 0.0000 0.0000
Sc 0.0000 0.5000 0.0000
Pb 0.5000 0.5000 0.5000
! D(E_F): 5.05 states/eV/f.u.
! Energy relative to the elements: 3.937 eV per formula unit
! Energy: -4.7386 eV per atom
! Energy above the most stable polymorph in this dataset: 0.4344 eV per atom

! PBE-GGA InH2, optimized geometry; values from VASP
&SYSTEM
  ibrav = 0, nat = 6, ntyp = 2
/
ATOMIC_SPECIES
H 1.01 H.upf
In 114.82 In.upf
CELL_PARAMETERS angstrom
-5.1080 -1.2034 -0.1738
-2.3060 -0.9682 -4.7018
-1.6243 -4.7879 1.6815
ATOMIC_POSITIONS crystal
H 0.4480 0.7425 0.1030
In 0.6978 0.6704 0.6758
H 0.6306 0.1326 0.2043
In 0.1980 0.8121 0.5339
H 0.9533 0.2414 0.5936
H 0.7673 0.1363 0.2143
! D(E_F): 0.12 states/eV/f.u.
! Energy: -2.9986 eV per atom

- Among the records above, which one has the lowest energy?
  ScCr2SiC